1.
Compound: Zr3BiRh
Source: Alexandria via LeMat-Bulk
Functional: PBE
Structure: relaxed

excess energy over the best structure of this formula in the dataset	0.000	eV/atom
ΔH_f (0 K)	-0.17	eV/f.u.

Cell: 5.0541 5.0541 5.0541 Å, 90.00 90.00 90.00°
Atoms (fractional coordinates):
1 Zr 0.0000 0.0000 0.5000
2 Zr 0.0000 0.5000 0.0000
3 Zr 0.5000 0.0000 0.0000
4 Bi 0.5000 0.5000 0.5000
5 Rh 0.0000 0.0000 0.0000

---

2.
Compound: ZrBiRh3
Source: Alexandria via LeMat-Bulk
Functional: PBE
Structure: relaxed

excess energy over the best structure of this formula in the dataset	0.000	eV/atom
ΔH_f (0 K)	3.04	eV/f.u.

Cell: 4.8453 4.8453 4.8453 Å, 90.00 90.00 90.00°
Atoms (fractional coordinates):
1 Zr 0.0000 0.0000 0.0000
2 Bi 0.5000 0.5000 0.5000
3 Rh 0.0000 0.0000 0.5000
4 Rh 0.0000 0.5000 0.0000
5 Rh 0.5000 0.0000 0.0000

---

3.
Compound: ZrBiRh2
Source: Alexandria via LeMat-Bulk
Functional: PBE
Structure: relaxed

ΔH_f (0 K)	-0.18	eV/f.u.

Cell: 4.3325 4.3325 17.7538 Å, 90.00 90.00 90.00°
Atoms (fractional coordinates):
1 Zr 0.0000 0.0000 0.0000
2 Zr 0.0000 0.5000 0.2500
3 Zr 0.5000 0.0000 0.7500
4 Zr 0.5000 0.5000 0.5000
5 Bi 0.0000 0.0000 0.5000
6 Bi 0.0000 0.5000 0.7500
7 Bi 0.5000 0.0000 0.2500
8 Bi 0.5000 0.5000 0.0000
9 Rh 0.2376 0.2500 0.1250
10 Rh 0.2500 0.7376 0.3750
11 Rh 0.2500 0.7624 0.8750
12 Rh 0.2624 0.2500 0.6250
13 Rh 0.7376 0.7500 0.6250
14 Rh 0.7500 0.2376 0.8750
15 Rh 0.7500 0.2624 0.3750
16 Rh 0.7624 0.7500 0.1250

---

4.
Compound: ZrBi3Rh
Source: Alexandria via LeMat-Bulk
Functional: PBE
Structure: relaxed

excess energy over the best structure of this formula in the dataset	0.409	eV/atom
ΔH_f (0 K)	4.48	eV/f.u.

Cell: 5.5845 5.5845 5.5845 Å, 90.00 90.00 90.00°
Atoms (fractional coordinates):
1 Zr 0.0000 0.0000 0.0000
2 Bi 0.0000 0.0000 0.5000
3 Bi 0.0000 0.5000 0.0000
4 Bi 0.5000 0.0000 0.0000
5 Rh 0.5000 0.5000 0.5000

---

5.
Compound: ZrBiRh2
Source: Alexandria via LeMat-Bulk
Functional: PBE
Structure: relaxed

ΔH_f (0 K)	-1.54	eV/f.u.

Cell: 4.3924 4.3924 3.8616 Å, 90.00 90.00 90.00°
Atoms (fractional coordinates):
1 Zr 0.0000 0.0000 0.0000
2 Bi 0.5000 0.5000 0.0000
3 Rh 0.0000 0.5000 0.5000
4 Rh 0.5000 0.0000 0.5000

---

6.
Compound: ZrBi2Rh2
Source: Alexandria via LeMat-Bulk
Functional: PBE
Structure: relaxed

ΔH_f (0 K)	-0.90	eV/f.u.

Cell: 7.1519 7.1519 4.1794 Å, 90.00 90.00 90.00°
Atoms (fractional coordinates):
1 Zr 0.0000 0.0000 0.0000
2 Zr 0.5000 0.5000 0.0000
3 Bi 0.1726 0.3274 0.5000
4 Bi 0.3274 0.8274 0.5000
5 Bi 0.6726 0.1726 0.5000
6 Bi 0.8274 0.6726 0.5000
7 Rh 0.1342 0.6342 0.0000
8 Rh 0.3658 0.1342 0.0000
9 Rh 0.6342 0.8658 0.0000
10 Rh 0.8658 0.3658 0.0000

---

7.
Compound: BiRu4
Source: Alexandria via LeMat-Bulk
Functional: PBE
Structure: relaxed

ΔH_f (0 K)	12.38	eV/f.u.

Cell: 4.9129 4.9129 4.9129 Å, 90.00 90.00 90.00°
Atoms (fractional coordinates):
1 Bi 0.0000 0.0000 0.0000
2 Ru 0.0000 0.0000 0.5000
3 Ru 0.0000 0.5000 0.0000
4 Ru 0.5000 0.0000 0.0000
5 Ru 0.5000 0.5000 0.5000

---

8.
Compound: BiRu3S
Source: Alexandria via LeMat-Bulk
Functional: PBE
Structure: relaxed

excess energy over the best structure of this formula in the dataset	0.000	eV/atom
formation energy from raw total energies	435.2	meV/atom

Cell: 4.4526 4.4526 4.4526 Å, 90.00 90.00 90.00°
Atoms (fractional coordinates):
1 Bi 0.0000 0.0000 0.0000
2 Ru 0.0000 0.5000 0.5000
3 Ru 0.5000 0.0000 0.5000
4 Ru 0.5000 0.5000 0.0000
5 S 0.5000 0.5000 0.5000

---

Number 1: spin magnetization 0.00 μB/cell. Number 2: spin magnetization 0.00 μB/cell. Number 3: spin magnetization 0.00 μB/cell. Number 4: spin magnetization 0.25 μB/cell. Number 5: spin magnetization 0.00 μB/cell. Number 6: spin magnetization 0.00 μB/cell. Number 7: spin magnetization 6.79 μB/cell. Number 8: spin magnetization 0.00 μB/cell.